The following is a GGA-PBE calculation of a relaxed Pa2Si5Os3 crystal, from OQMD.

Cell: 8.1698 8.1698 8.1698 Å, 105.11 89.49 138.43°
Last column: nearest neighbours and their distance in Å.
Atoms (fractional coordinates):
Os 0.2500 0.2500 0.0000  6 Si 2.42-2.56
Os 0.7500 0.7500 0.0000  6 Si 2.42-2.56
Os 0.3553 0.8837 0.2389  5 Si 2.34-2.50
Os 0.8553 0.6163 0.4716  5 Si 2.34-2.50
Os 0.1447 0.3837 0.5284  5 Si 2.34-2.50
Os 0.6447 0.1163 0.7611  5 Si 2.34-2.50
Pa 0.8675 0.2698 0.1373  10 Si 2.97-3.21, 3 Os 3.00-3.11
Pa 0.6325 0.7698 0.4023  10 Si 2.97-3.21, 3 Os 3.00-3.11
Pa 0.3675 0.2302 0.5977  10 Si 2.97-3.21, 3 Os 3.00-3.11
Pa 0.1325 0.7302 0.8627  10 Si 2.97-3.21, 3 Os 3.00-3.11
Si 0.3970 0.6536 0.0507  3 Os 2.34-2.42, 2 Si 2.51
Si 0.4704 0.2500 0.2204  3 Os 2.43-2.56, 2 Si 2.51
Si 0.9704 0.7500 0.2204  3 Os 2.43-2.56, 2 Si 2.51
Si 0.1030 0.1536 0.2566  3 Os 2.34-2.42, 2 Si 2.51
Si 0.7500 0.2500 0.5000  4 Os 2.50
Si 0.2500 0.7500 0.5000  4 Os 2.50
Si 0.8970 0.8464 0.7434  3 Os 2.34-2.42, 2 Si 2.51
Si 0.0296 0.2500 0.7796  3 Os 2.43-2.56, 2 Si 2.51
Si 0.5296 0.7500 0.7796  3 Os 2.43-2.56, 2 Si 2.51
Si 0.6030 0.3464 0.9493  3 Os 2.34-2.42, 2 Si 2.51

Summary:
The calculation puts the total magnetic moment at 0.01 μB/f.u. The calculation puts the volume at 334 Å³ per cell. Its total energy is -8.659 eV per atom.

=====

The following is a GGA-PBE calculation of a relaxed PaSiOs crystal, from OQMD.

Cell: 4.5647 4.5647 4.5647 Å, 60.00 60.00 60.00°
Last column: nearest neighbours and their distance in Å.
Atoms (fractional coordinates):
Os 0.2500 0.2500 0.2500  4 Pa 2.80
Pa 0.0000 0.0000 0.0000  4 Si 2.80, 4 Os 2.80
Si 0.7500 0.7500 0.7500  4 Pa 2.80

Summary:
The calculation puts the total magnetic moment at 0.01 μB/f.u. The calculation puts the volume at 67 Å³ per cell. Its total energy is -8.185 eV per atom.

=====

The following is a GGA-PBE calculation of a relaxed SmPaOs crystal, from OQMD.

Cell: 4.8107 4.8107 4.8107 Å, 60.00 60.00 60.00°
Last column: nearest neighbours and their distance in Å.
Atoms (fractional coordinates):
Os 0.0000 0.0000 0.0000  4 Pa 2.95, 4 Sm 2.95
Pa 0.2500 0.2500 0.2500  4 Os 2.95
Sm 0.7500 0.7500 0.7500  4 Os 2.95

Summary:
The calculation puts the total magnetic moment at 1.08 μB/f.u. The calculation puts the volume at 79 Å³ per cell. Its total energy is -8.426 eV per atom. For the formation energy, the calculation gives 52 meV per atom. Its polymorph energy (0 for the lowest one) is 0.000 eV/atom.

=====

Number 1 is which compound? Pa2Si5Os3